Entry 1:
RbPmPr4Se8 after structural relaxation. Source: Alexandria via LeMat-Bulk, functional PBE-GGA.

Cell lengths 8.960, 8.960, 8.902 Å; angles 59.78, 59.78, 60.00 degrees
Sites, in units of the cell vectors:
Se  0.759  0.759  0.256
Se  0.231  0.231  0.737
Se  0.802  0.231  0.737
Se  0.234  0.234  0.298
Se  0.231  0.802  0.737
Se  0.227  0.759  0.256
Se  0.757  0.757  0.728
Se  0.759  0.227  0.256
Pr  0.624  0.624  0.127
Pr  0.004  0.004  0.504
Pr  0.487  0.004  0.504
Pr  0.004  0.487  0.504
Rb  0.377  0.377  0.869
Pm  0.004  0.004  0.987


Entry 2:
CeTm7In4 after structural relaxation. Source: Alexandria via LeMat-Bulk, functional PBE-GGA.

Computed properties:
E_form in eV per atom: -0.062

Cell lengths 5.579, 9.071, 7.797 Å; angles 72.33, 69.04, 72.09 degrees
Sites, in units of the cell vectors:
In  0.322  0.337  0.019
In  0.441  0.745  0.372
In  0.559  0.255  0.628
In  0.678  0.663  0.981
Tm  0.264  0.685  0.788
Tm  0.931  0.408  0.730
Tm  0.069  0.592  0.270
Tm  0.208  0.122  0.463
Tm  0.736  0.315  0.212
Tm  0.500  0.000  0.000
Tm  0.792  0.878  0.537
Ce  0.000  0.000  0.000


Entry 3:
Tb3TlGe after structural relaxation. Source: Alexandria via LeMat-Bulk, functional PBE-GGA.

Computed properties:
E_form in eV per atom: -0.480

Cell lengths 6.027, 6.681, 8.845 Å; angles 111.96, 81.71, 124.05 degrees
Sites, in units of the cell vectors:
Tb  0.063  0.370  0.670
Tb  0.937  0.630  0.330
Tb  0.792  0.777  0.761
Tb  0.208  0.223  0.239
Tb  0.526  0.836  0.136
Tb  0.474  0.164  0.864
Ge  0.999  0.708  0.000
Ge  0.001  0.292  0.000
Tl  0.507  0.781  0.497
Tl  0.493  0.219  0.503


no.,DFT total energy (eV per cell)
1,-76.99
2,-48.93
3,-46.55